The following is a DFT calculation (PBE) of crystalline ZnTePF2 at its relaxed geometry.

The space group is P4/mmm (No. 123) and the conventional cell measures 4.001, 4.001 and 5.926 Å, with angles of 90.00, 90.00 and 90.00 degrees. The asymmetric unit holds Zn at (0.000, 0.000, 0.000), Te at (0.500, 0.500, 0.000), P at (0.500, 0.500, 0.500) and F at (0.000, 0.500, 0.500).

For the calculated total energy, the calculation gives -3.53 eV/atom.